The following is a DFT calculation (GGA-PBE) of a geometry-optimized PtRhAu3 structure.

Unit cell a=4.927 b=4.927 c=4.927 alpha=90.00 beta=90.00 gamma=90.00
Fractional positions:
Pt1 0.000 0.000 0.000
Rh1 0.500 0.500 0.500
Au1 0.000 0.500 0.500
Au2 0.500 0.000 0.500
Au3 0.500 0.500 0.000

Properties
E_form   1.382 eV per atom

The following is a DFT calculation (GGA-PBE) of a geometry-optimized PtRh3Au structure.

Unit cell a=4.770 b=4.770 c=4.770 alpha=90.00 beta=90.00 gamma=90.00
Fractional positions:
Pt1 0.000 0.000 0.000
Rh1 0.000 0.000 0.500
Rh2 0.000 0.500 0.000
Rh3 0.500 0.000 0.000
Au1 0.500 0.500 0.500

Properties
E_form   1.440 eV per atom